(1)
The following is a DFT calculation (PBE-GGA) of crystalline SrAl3 at its relaxed geometry.

As for the formation energy: 0.06 eV/atom. The calculated volume is 27.91 A^3/atom.

The structure belongs to space group P-6m2 (No. 187); the cell edges are 4.1714, 4.1714 and 7.4075 Å and the angles 90.00°, 90.00° and 120.00°. The asymmetric unit holds Sr at (0.0000, 0.0000, 0.0000), Al at (0.0000, 0.0000, 0.5000) and Al at (0.3333, 0.6667, 0.3240).



(2)
The following is a DFT calculation (PBE-GGA) of crystalline Sr3Al4 at its relaxed geometry.

As for the formation energy: 0.35 eV/atom. The calculated volume is 34.12 A^3/atom.

The structure belongs to space group P6/mmm (No. 191); the cell edges are 7.2956, 7.2956 and 5.1809 Å and the angles 90.00°, 90.00° and 120.00°. The asymmetric unit holds Sr at (0.0000, 0.5000, 0.0000), Al at (0.0000, 0.0000, 0.2499) and Al at (0.3333, 0.6667, 0.5000).



(3)
The following is a DFT calculation (PBE-GGA) of crystalline SrAl at its relaxed geometry.

As for the formation energy: 0.21 eV/atom. The calculated volume is 35.36 A^3/atom.

The structure belongs to space group P-6m2 (No. 187); the cell edges are 4.0847, 4.0847 and 4.8938 Å and the angles 90.00°, 90.00° and 120.00°. The asymmetric unit holds Sr at (0.0000, 0.0000, 0.0000) and Al at (0.3333, 0.6667, 0.5000).



(4)
The following is a DFT calculation (PBE-GGA) of crystalline SrAl at its relaxed geometry.

As for the formation energy: 0.05 eV/atom. The calculated volume is 34.63 A^3/atom.

The structure belongs to space group Pmmn (No. 59, origin choice 2); the cell edges are 6.348, 11.557 and 5.664 Å and the angles 90.00°, 90.00° and 90.00°. The asymmetric unit holds Sr at (0.250, 0.090, 0.001), Sr at (0.250, 0.750, 0.475), Al at (0.000, 0.000, 0.500) and Al at (0.250, 0.250, 0.502).



(5)
The following is a DFT calculation (PBE-GGA) of crystalline SrAl3 at its relaxed geometry.

As for the formation energy: 0.29 eV/atom. The calculated volume is 24.18 A^3/atom.

The structure belongs to space group R-3m (No. 166, hexagonal axes); the cell edges are 3.4325, 3.4325 and 28.4351 Å and the angles 90.00°, 90.00° and 120.00°. The asymmetric unit holds Sr at (0.0000, 0.0000, 0.0000), Al at (0.0000, 0.0000, 0.2367) and Al at (0.0000, 0.0000, 0.5000).



(6)
The following is a DFT calculation (PBE-GGA) of crystalline SrAl at its relaxed geometry.

As for the formation energy: -0.19 eV/atom. The calculated volume is 36.83 A^3/atom.

The structure belongs to space group P6_3/mmc (No. 194); the cell edges are 4.4973, 4.4973 and 16.8207 Å and the angles 90.00°, 90.00° and 120.00°. The asymmetric unit holds Sr at (0.3333, 0.6667, 0.1138), Al at (0.0000, 0.0000, 0.2500) and Al at (0.3333, 0.6667, 0.7500).



(7)
The following is a DFT calculation (PBE-GGA) of crystalline SrAl at its relaxed geometry.

As for the formation energy: 0.82 eV/atom. The calculated volume is 51.76 A^3/atom.

The structure belongs to space group F-43m (No. 216); the cell edges are 7.454, 7.454 and 7.454 Å and the angles 90.00°, 90.00° and 90.00°. The asymmetric unit holds Sr at (0.000, 0.000, 0.000) and Al at (0.250, 0.250, 0.250).



(8)
The following is a DFT calculation (PBE-GGA) of crystalline SrAl at its relaxed geometry.

As for the formation energy: 0.08 eV/atom. The calculated volume is 37.15 A^3/atom.

The structure belongs to space group P-3m1 (No. 164); the cell edges are 4.2493, 4.2493 and 9.5016 Å and the angles 90.00°, 90.00° and 120.00°. The asymmetric unit holds Sr at (0.3333, 0.6667, 0.1947) and Al at (0.3333, 0.6667, 0.5589).